Entry 1:
{"formula": "Tb2NdDyTl4", "functional": "GGA-PBE", "state": "optimized geometry", "formation_enthalpy_0k_ev_per_atom": -0.35, "vol_a3_per_atom": 28.1, "cell": [[5.4153, 0.0000, 0.0000], [2.7076, 4.6898, 0.0000], [2.7076, 1.5633, 8.8639]], "species": ["Tb", "Tb", "Nd", "Dy", "Tl", "Tl", "Tl", "Tl"], "fractional_positions": [[0.7505, 0.7505, 0.7485], [0.2495, 0.2495, 0.2515], [0.0000, 0.0000, 0.0000], [0.5000, 0.5000, 0.5000], [0.3765, 0.3765, 0.8706], [0.8736, 0.8736, 0.3791], [0.1264, 0.1264, 0.6209], [0.6235, 0.6235, 0.1294]]}

---

Entry 2:
{"formula": "LaN", "functional": "GGA-PBE", "state": "optimized geometry", "e_form_raw_ev_per_atom": -1.144, "vol_a3_per_atom": 28.5, "cell": [[-0.5310, 5.7774, -5.0563], [-4.3632, -4.3974, -4.5663], [-6.3172, 2.5517, 3.5789]], "species": ["La", "La", "La", "La", "La", "La", "La", "La", "N", "N", "N", "N", "N", "N", "N", "N"], "fractional_positions": [[0.3365, 0.3365, 0.3365], [0.3365, 0.6635, 0.6635], [0.6635, 0.3365, 0.6635], [0.6635, 0.6635, 0.3365], [0.8365, 0.8365, 0.8365], [0.8365, 0.1635, 0.1635], [0.1635, 0.8365, 0.1635], [0.1635, 0.1635, 0.8365], [0.1474, 0.1474, 0.1474], [0.1474, 0.8526, 0.8526], [0.8526, 0.1474, 0.8526], [0.8526, 0.8526, 0.1474], [0.6474, 0.6474, 0.6474], [0.6474, 0.3526, 0.3526], [0.3526, 0.6474, 0.3526], [0.3526, 0.3526, 0.6474]]}